1.
The following is a DFT calculation (PBE) of a relaxed GdMgNp crystal.

Its total moment is 6.4 Bohr magnetons per cell. Its final energy is -16.12 eV per cell.

Structure (POSCAR):
```
GdMgNp
1.0
0.0000 3.6124 3.6124
3.6124 0.0000 3.6124
3.6124 3.6124 0.0000
Gd Mg Np
1 1 1
direct
0.0000 0.0000 0.0000
0.2500 0.2500 0.2500
0.5000 0.5000 0.5000
```

---

2.
The following is a DFT calculation (PBE) of a relaxed Gd2Mg2O5 crystal.

Its total moment is 0.2 Bohr magnetons per cell. Its final energy is -57.50 eV per cell.

Structure (POSCAR):
```
Gd2Mg2O5
1.0
4.0406 0.0000 0.0000
0.0000 4.0406 0.0000
0.0000 0.0000 8.5299
Gd Mg O
2 2 5
direct
0.0000 0.0000 0.2359
0.0000 0.0000 0.7641
0.5000 0.5000 0.0000
0.5000 0.5000 0.5000
0.0000 0.0000 0.5000
0.0000 0.5000 0.1494
0.0000 0.5000 0.8506
0.5000 0.0000 0.1494
0.5000 0.0000 0.8506
```

---

3.
The following is a DFT calculation (PBE) of a relaxed GdMgO3 crystal.

Its total moment is 2.0 Bohr magnetons per cell. Its final energy is -67.56 eV per cell.

Structure (POSCAR):
```
GdMgO3
1.0
2.7741 1.6016 4.7798
-2.7741 1.6016 4.7798
0.0000 -3.2032 4.7798
Gd Mg O
2 2 6
direct
0.1347 0.1347 0.1347
0.8653 0.8653 0.8653
0.3512 0.3512 0.3512
0.6488 0.6488 0.6488
0.0527 0.7199 0.4673
0.2801 0.5327 0.9473
0.4673 0.0527 0.7199
0.5327 0.9473 0.2801
0.7199 0.4673 0.0527
0.9473 0.2801 0.5327
```

---

4.
The following is a DFT calculation (PBE) of a relaxed GdMgO3 crystal.

Its total moment is 2.0 Bohr magnetons per cell. Its final energy is -68.06 eV per cell.

Structure (POSCAR):
```
GdMgO3
1.0
2.7977 1.6153 4.1961
-2.7977 1.6153 4.1961
0.0000 -3.2305 4.1961
Gd Mg O
2 2 6
direct
0.2500 0.2500 0.2500
0.7500 0.7500 0.7500
0.0000 0.0000 0.0000
0.5000 0.5000 0.5000
0.1524 0.7500 0.3476
0.2500 0.6524 0.8476
0.3476 0.1524 0.7500
0.6524 0.8476 0.2500
0.7500 0.3476 0.1524
0.8476 0.2500 0.6524
```